No. 1
Ac3La7Sm: relaxed, PBE-GGA.

Lattice parameters (Å, degrees): 9.1899 7.5177 7.5177 120.00 90.00 90.00
Sites, in units of the cell vectors:
La: 0.4445 0.8323 0.1677
La: 0.1236 0.6667 0.3333
La: 0.4445 0.3354 0.1677
La: 0.1226 0.1677 0.3354
La: 0.1226 0.1677 0.8323
La: 0.4445 0.8323 0.6646
La: 0.1226 0.6646 0.8323
Sm: 0.4419 0.3333 0.6667
Ac: 0.7828 0.9999 0.4999
Ac: 0.7828 0.5000 0.4999
Ac: 0.7828 0.5000 0.0001

Values from the calculation:
**Energy**: -4.53 eV/atom
**ΔH_f (0 K)**: 3.573 kcal/mol of atoms

---

No. 2
Rb2SrCuI6: relaxed, PBE-GGA.

Lattice parameters (Å, degrees): 8.6297 8.6297 8.5080 59.53 59.53 90.00
Sites, in units of the cell vectors:
I: 0.7367 0.2633 0.0000
I: 0.7277 0.7277 0.5445
I: 0.2633 0.2633 0.0000
I: 0.7367 0.7367 0.0000
I: 0.2633 0.7367 0.0000
I: 0.2723 0.2723 0.4555
Cu: 0.5000 0.5000 0.0000
Sr: 0.0000 0.0000 0.0000
Rb: 0.2500 0.7500 0.5000
Rb: 0.7500 0.2500 0.5000

Values from the calculation:
**Energy**: -2.73 eV/atom
**Formation energy without anion corrections**: -1027 meV/atom

---

No. 3
Pm2Pr6Sm3Y: relaxed, PBE-GGA.

Lattice parameters (Å, degrees): 6.3745 6.3745 12.1249 95.03 95.03 120.01
Sites, in units of the cell vectors:
Sm: 0.5000 0.5000 0.5000
Sm: 0.1665 0.8335 0.5000
Sm: 0.8335 0.1665 0.5000
Pr: 0.4168 0.0837 0.2499
Pr: 0.0837 0.4168 0.2499
Pr: 0.9163 0.5832 0.7501
Pr: 0.2496 0.2496 0.7498
Pr: 0.7504 0.7504 0.2502
Pr: 0.5832 0.9163 0.7501
Pm: 0.6667 0.3333 0.0000
Pm: 0.3333 0.6667 0.0000
Y: 0.0000 0.0000 0.0000

Values from the calculation:
**Energy**: -4.89 eV/atom
**ΔH_f (0 K)**: 0.246 kcal/mol of atoms

---

No. 4
RbSm2Lu: relaxed, PBE-GGA.

Lattice parameters (Å, degrees): 3.6396 3.6396 13.5057 82.26 82.26 60.00
Sites, in units of the cell vectors:
Sm: 0.0972 0.0972 0.7085
Sm: 0.9028 0.9028 0.2915
Rb: 0.0000 0.0000 0.0000
Lu: 0.5000 0.5000 0.5000

Values from the calculation:
**Energy**: -3.46 eV/atom
**ΔH_f (0 K)**: 6.243 kcal/mol of atoms

---

No. 5
Er2InPt: relaxed, PBE-GGA.

Lattice parameters (Å, degrees): 5.0851 5.0851 5.0851 60.00 60.00 60.00
Sites, in units of the cell vectors:
Er: 0.2500 0.2500 0.2500
Er: 0.7500 0.7500 0.7500
Pt: 0.5000 0.5000 0.5000
In: 0.0000 0.0000 0.0000

Values from the calculation:
**E above lowest polymorph**: 2.36 kcal/mol of atoms
**Energy**: -5.25 eV/atom
**ΔH_f (0 K)**: -17.759 kcal/mol of atoms

---

No. 6
MgCrMo: relaxed, PBE-GGA.

Lattice parameters (Å, degrees): 6.6656 6.6656 6.6656 155.76 155.76 34.55
Sites, in units of the cell vectors:
Mg: 0.3352 0.3352 0.0000
Cr: 0.0093 0.0093 0.0000
Mo: 0.6555 0.6555 0.0000

Values from the calculation:
**E above lowest polymorph**: 4.50 kcal/mol of atoms
**Energy**: -6.85 eV/atom
**ΔH_f (0 K)**: 11.611 kcal/mol of atoms

---

No. 7
SiMo2: relaxed, PBE-GGA.

Lattice parameters (Å, degrees): 4.8853 4.8853 4.8853 104.87 104.87 119.12
Sites, in units of the cell vectors:
Si: 0.2500 0.2500 0.0000
Si: 0.7500 0.7500 0.0000
Mo: 0.8426 0.3426 0.1852
Mo: 0.1574 0.6574 0.8148
Mo: 0.6574 0.8426 0.5000
Mo: 0.3426 0.1574 0.5000

Values from the calculation:
**E above lowest polymorph**: 0.00 kcal/mol of atoms
**Energy**: -9.36 eV/atom
**Formation energy without anion corrections**: -327 meV/atom

---

No. 8
ThTe2As2Pd7: relaxed, PBE-GGA.

Lattice parameters (Å, degrees): 4.0910 4.0910 15.3114 82.38 82.38 89.97
Sites, in units of the cell vectors:
Te: 0.7906 0.7906 0.4183
Te: 0.2094 0.2094 0.5817
Pd: 0.5723 0.0728 0.8551
Pd: 0.7030 0.7030 0.5961
Pd: 0.5000 0.5000 0.0000
Pd: 0.2970 0.2970 0.4039
Pd: 0.4277 0.9272 0.1449
Pd: 0.0728 0.5723 0.8551
Pd: 0.9272 0.4277 0.1449
As: 0.6214 0.6214 0.7578
As: 0.3786 0.3786 0.2422
Th: 0.0000 0.0000 0.0000

Values from the calculation:
**Energy**: -5.43 eV/atom
**Formation energy without anion corrections**: -488 meV/atom

---

No. 9
LiAc2Dy3Se6: relaxed, PBE-GGA.

Lattice parameters (Å, degrees): 7.2587 7.2587 7.3766 99.48 99.48 120.13
Sites, in units of the cell vectors:
Dy: 0.1687 0.8313 0.5000
Dy: 0.5000 0.5000 0.5000
Dy: 0.8313 0.1687 0.5000
Se: 0.7729 0.7729 0.2655
Se: 0.5939 0.9116 0.7335
Se: 0.0884 0.4061 0.2665
Se: 0.2271 0.2271 0.7345
Se: 0.9116 0.5939 0.7335
Se: 0.4061 0.0884 0.2665
Ac: 0.3345 0.6655 0.0000
Ac: 0.6655 0.3345 0.0000
Li: 0.0000 0.0000 0.0000

Values from the calculation:
**Energy**: -5.49 eV/atom
**Formation energy without anion corrections**: -1750 meV/atom

---

No. 10
ThZnHgPt: relaxed, PBE-GGA.

Lattice parameters (Å, degrees): 4.9441 4.9441 4.9441 60.00 60.00 60.00
Sites, in units of the cell vectors:
Hg: 0.0000 0.0000 0.0000
Pt: 0.7500 0.7500 0.7500
Zn: 0.2500 0.2500 0.2500
Th: 0.5000 0.5000 0.5000

Values from the calculation:
**Energy**: -4.26 eV/atom
**ΔH_f (0 K)**: -11.490 kcal/mol of atoms

---

No. 11
Pr2MgRu: relaxed, PBE-GGA.

Lattice parameters (Å, degrees): 3.5032 3.5032 8.8627 90.00 90.00 90.00
Sites, in units of the cell vectors:
Pr: 0.0000 0.0000 0.1976
Pr: 0.0000 0.0000 0.8024
Mg: 0.5000 0.5000 0.5000
Ru: 0.5000 0.5000 0.0000

Values from the calculation:
**Energy**: -5.21 eV/atom
**ΔH_f (0 K)**: -2.472 kcal/mol of atoms

---

No. 12
Pa4Te2AsC: relaxed, PBE-GGA.

Lattice parameters (Å, degrees): 3.8675 6.9640 7.5700 106.71 90.00 90.00
Sites, in units of the cell vectors:
Pa: 0.0000 0.2953 0.8078
Pa: 0.5000 0.2666 0.2053
Pa: 0.5000 0.7334 0.7947
Pa: 0.0000 0.7047 0.1922
Te: 0.0000 0.5000 0.5000
Te: 0.5000 0.0000 0.5000
C: 0.5000 0.5000 0.0000
As: 0.0000 0.0000 0.0000

Values from the calculation:
**Energy**: -7.95 eV/atom
**Formation energy without anion corrections**: -681 meV/atom